# 1
This record from Alexandria via LeMat-Bulk describes a relaxed structure of CrCdTe2N. The functional is PBE-GGA.

Output
energy: -4.93 eV/atom
volume: 109 Å³/f.u.
energy relative to the elements, uncorrected: 98 meV/atom
ρ: 6.61 g/cm³
energy above the lowest structure with this stoichiometry: 0.000 eV per atom

a b c (Å): 5.5386 5.5386 3.5518
angles (deg): 90.00 90.00 90.00
Space group P4/mmm (No. 123)
Unique sites:
Cr: 0.0000 0.0000 0.0000
Cd: 0.5000 0.5000 0.5000
Te: 0.0000 0.5000 0.0000
N: 0.0000 0.0000 0.5000



# 2
This record from Alexandria via LeMat-Bulk describes a relaxed structure of SrIBr2. The functional is PBE-GGA.

Output
energy: -2.89 eV/atom
volume: 179 Å³/f.u.
energy relative to the elements, uncorrected: -1248 meV/atom
ρ: 3.46 g/cm³
energy above the lowest structure with this stoichiometry: 0.314 eV per atom

a b c (Å): 10.3017 10.3017 6.7615
angles (deg): 90.00 90.00 90.00
Space group I-42d (No. 122)
Unique sites:
Sr: 0.0000 0.0000 0.0000
I: 0.0000 0.0000 0.5000
Br: 0.1290 0.7500 0.1250



# 3
This record from Alexandria via LeMat-Bulk describes a relaxed structure of Ti2SnPd. The functional is PBE-GGA.

Output
energy: -6.44 eV/atom
ΔH_f (0 K): -0.197 eV/atom
volume: 71 Å³/f.u.
ρ: 7.51 g/cm³

a b c (Å): 2.8971 21.0018 4.6649
angles (deg): 90.00 90.00 90.00
Space group Cmcm (No. 63)
Unique sites:
Ti: 0.0000 0.0294 0.2500
Ti: 0.0000 0.2245 0.7500
Sn: 0.0000 0.4061 0.2500
Pd: 0.0000 0.1591 0.2500



# 4
This record from Alexandria via LeMat-Bulk describes a relaxed structure of ZnRh3Se. The functional is PBE-GGA.

Output
energy: -4.92 eV/atom
volume: 94 Å³/f.u.
energy relative to the elements, uncorrected: 438 meV/atom
ρ: 8.03 g/cm³
energy above the lowest structure with this stoichiometry: 0.000 eV per atom

a b c (Å): 4.5425 4.5425 4.5425
angles (deg): 90.00 90.00 90.00
Space group Pm-3m (No. 221)
Unique sites:
Zn: 0.0000 0.0000 0.0000
Rh: 0.0000 0.5000 0.5000
Se: 0.5000 0.5000 0.5000



# 5
This record from Alexandria via LeMat-Bulk describes a relaxed structure of Rb2BeTcF6. The functional is PBE-GGA.

Output
energy: -4.97 eV/atom
volume: 137 Å³/f.u.
energy relative to the elements, uncorrected: -2241 meV/atom
ρ: 4.74 g/cm³

a b c (Å): 5.5933 5.5933 8.7755
angles (deg): 90.00 90.00 90.00
Space group I4/mmm (No. 139)
Unique sites:
Rb: 0.0000 0.5000 0.2500
Be: 0.0000 0.0000 0.0000
Tc: 0.0000 0.0000 0.5000
F: 0.0000 0.0000 0.2589
F: 0.2168 0.2168 0.0000



# 6
This record from Alexandria via LeMat-Bulk describes a relaxed structure of LiSmPaOs. The functional is PBE-GGA.

Output
energy: -6.83 eV/atom
ΔH_f (0 K): 0.012 eV/atom
volume: 85 Å³/f.u.
ρ: 11.27 g/cm³

a b c (Å): 6.9860 6.9860 6.9860
angles (deg): 90.00 90.00 90.00
Space group F-43m (No. 216)
Unique sites:
Li: 0.0000 0.0000 0.0000
Sm: 0.2500 0.2500 0.2500
Pa: 0.2500 0.2500 0.7500
Os: 0.0000 0.0000 0.5000



# 7
This record from Alexandria via LeMat-Bulk describes a relaxed structure of LiYZn2. The functional is PBE-GGA.

Output
energy: -2.92 eV/atom
ΔH_f (0 K): -0.192 eV/atom
volume: 81 Å³/f.u.
ρ: 4.65 g/cm³

a b c (Å): 3.3240 4.7663 5.1050
angles (deg): 90.00 90.00 90.00
Space group Pmm2 (No. 25)
Unique sites:
Li: 0.0000 0.0000 0.0000
Y: 0.0000 0.5000 0.5706
Zn: 0.5000 0.0000 0.4280
Zn: 0.5000 0.5000 0.0879



# 8
This record from Alexandria via LeMat-Bulk describes a relaxed structure of ScUFe2. The functional is PBE-GGA.

Output
energy: -8.68 eV/atom
ΔH_f (0 K): -0.044 eV/atom
volume: 65 Å³/f.u.
ρ: 10.10 g/cm³

a b c (Å): 4.5397 4.5397 3.1494
angles (deg): 90.00 90.00 90.00
Space group P4/mmm (No. 123)
Unique sites:
Sc: 0.0000 0.0000 0.0000
U: 0.5000 0.5000 0.0000
Fe: 0.0000 0.5000 0.5000



# 9
This record from Alexandria via LeMat-Bulk describes a relaxed structure of YBe2Pt. The functional is PBE-GGA.

Output
energy: -5.39 eV/atom
ΔH_f (0 K): -0.400 eV/atom
volume: 72 Å³/f.u.
ρ: 6.99 g/cm³
energy above the lowest structure with this stoichiometry: 0.271 eV per atom

a b c (Å): 4.3207 4.3207 15.3625
angles (deg): 90.00 90.00 90.00
Space group I4_1/amd (No. 141, origin choice 2)
Unique sites:
Y: 0.0000 0.2500 0.3750
Be: 0.0000 0.0000 0.0000
Pt: 0.0000 0.2500 0.8750



# 10
This record from Alexandria via LeMat-Bulk describes a relaxed structure of La2Zn3InCu4. The functional is PBE-GGA.

Output
energy: -3.52 eV/atom
ΔH_f (0 K): -0.241 eV/atom
volume: 194 Å³/f.u.
ρ: 7.20 g/cm³

a b c (Å): 4.1785 4.1785 11.1371
angles (deg): 90.00 90.00 90.00
Space group P-4m2 (No. 115)
Unique sites:
La: 0.0000 0.5000 0.2397
Zn: 0.0000 0.5000 0.8762
Zn: 0.5000 0.5000 0.5000
In: 0.0000 0.0000 0.5000
Cu: 0.0000 0.0000 0.0000
Cu: 0.0000 0.5000 0.6507
Cu: 0.5000 0.5000 0.0000



# 11
This record from Alexandria via LeMat-Bulk describes a relaxed structure of Hf3SnBi. The functional is PBE-GGA.

Output
energy: -6.62 eV/atom
ΔH_f (0 K): 0.924 eV/atom
volume: 146 Å³/f.u.
ρ: 9.80 g/cm³
energy above the lowest structure with this stoichiometry: 1.080 eV per atom

a b c (Å): 5.2681 5.2681 5.2681
angles (deg): 90.00 90.00 90.00
Space group Pm-3m (No. 221)
Unique sites:
Hf: 0.0000 0.0000 0.5000
Sn: 0.0000 0.0000 0.0000
Bi: 0.5000 0.5000 0.5000



# 12
This record from Alexandria via LeMat-Bulk describes a relaxed structure of Sm2ZnGe3Pt4. The functional is PBE-GGA.

Output
energy: -5.78 eV/atom
ΔH_f (0 K): -0.907 eV/atom
volume: 191 Å³/f.u.
ρ: 11.89 g/cm³

a b c (Å): 4.3123 4.3123 10.2486
angles (deg): 90.00 90.00 90.00
Space group P-4m2 (No. 115)
Unique sites:
Sm: 0.0000 0.5000 0.2465
Zn: 0.5000 0.5000 0.0000
Ge: 0.0000 0.0000 0.0000
Ge: 0.0000 0.5000 0.6314
Pt: 0.0000 0.0000 0.5000
Pt: 0.0000 0.5000 0.8681
Pt: 0.5000 0.5000 0.5000